{
  "formula": "NbSbBr3",
  "functional": "SCAN",
  "state": "PBEsol geometry",
  "cell": [[5.164, 0.000, 0.000], [0.000, 5.164, 0.000], [0.000, 0.000, 5.164]],
  "species": ["Nb", "Br", "Br", "Sb", "Br"],
  "fractional_positions": [[0.000, 0.000, 0.000], [0.000, 0.500, 0.000], [0.500, 0.000, 0.000], [0.500, 0.500, 0.500], [0.000, 0.000, 0.500]],
  "raw_formation_energy_mev_per_atom": -7,
  "total_magnetization_mub_per_cell": 5.005
}


{
  "formula": "AgAsPt2",
  "functional": "SCAN",
  "state": "PBEsol geometry",
  "cell": [[-1.704, -0.584, 2.897], [-1.487, -2.720, -1.423], [4.175, -3.226, 1.805]],
  "species": ["Ag", "As", "Pt", "Pt"],
  "fractional_positions": [[0.000, 0.000, 0.481], [0.500, 0.500, 0.796], [0.500, 0.500, 0.245], [0.000, 0.000, 0.978]],
  "e_form_ev_per_fu": -0.02,
  "total_magnetization_mub_per_cell": 0.000
}


{
  "formula": "FeRe3",
  "functional": "SCAN",
  "state": "PBEsol geometry",
  "cell": [[-0.838, -0.070, 4.561], [3.230, -4.284, 0.528], [10.186, 7.924, 1.993]],
  "species": ["Re", "Re", "Re", "Fe", "Re", "Re", "Re", "Fe", "Re", "Re", "Fe", "Re", "Re", "Re", "Re", "Re", "Re", "Re", "Fe", "Re", "Re", "Fe", "Re", "Fe"],
  "fractional_positions": [[0.332, 0.749, 0.165], [0.500, 0.500, 0.000], [0.170, 0.500, 0.666], [0.507, 0.500, 0.500], [0.500, 0.000, 0.500], [0.668, 0.249, 0.665], [0.332, 0.749, 0.835], [0.834, 0.500, 0.831], [0.991, 0.751, 0.000], [0.668, 0.751, 0.665], [0.493, 0.000, 0.000], [0.830, 0.000, 0.166], [0.668, 0.249, 0.335], [0.830, 0.000, 0.834], [0.332, 0.251, 0.835], [0.668, 0.751, 0.335], [0.332, 0.251, 0.165], [0.170, 0.500, 0.334], [0.166, 0.000, 0.331], [0.009, 0.749, 0.500], [0.009, 0.251, 0.500], [0.834, 0.500, 0.169], [0.991, 0.249, 0.000], [0.166, 0.000, 0.669]],
  "e_form_ev_per_fu": 0.18,
  "total_magnetization_mub_per_cell": 9.901
}


{
  "formula": "ErScRu2",
  "functional": "SCAN",
  "state": "PBEsol geometry",
  "cell": [[4.577, 0.000, 0.000], [2.289, 3.964, 0.000], [2.289, 1.321, 3.737]],
  "species": ["Sc", "Ru", "Er", "Ru"],
  "fractional_positions": [[0.000, 0.000, 0.000], [0.250, 0.250, 0.250], [0.500, 0.500, 0.500], [0.750, 0.750, 0.750]],
  "e_form_ev_per_fu": -2.29,
  "total_magnetization_mub_per_cell": 0.000
}


{
  "formula": "BaNiWSe2",
  "functional": "SCAN",
  "state": "PBEsol geometry",
  "cell": [[4.796, 0.000, 0.000], [0.000, 4.796, 0.000], [0.000, 0.000, 4.977]],
  "species": ["W", "Ni", "Ba", "Se", "Se"],
  "fractional_positions": [[0.500, 0.500, 0.500], [0.000, 0.000, 0.000], [0.000, 0.000, 0.500], [0.500, 0.000, 0.000], [0.000, 0.500, 0.000]],
  "raw_formation_energy_mev_per_atom": 891,
  "total_magnetization_mub_per_cell": 4.018
}


{
  "formula": "Ag4Pt7",
  "functional": "SCAN",
  "state": "PBEsol geometry",
  "cell": [[4.792, -0.001, 0.010], [-0.751, 4.786, -0.007], [-0.180, -0.846, 7.395]],
  "species": ["Pt", "Ag", "Ag", "Ag", "Pt", "Pt", "Pt", "Pt", "Pt", "Pt", "Ag"],
  "fractional_positions": [[0.362, 0.171, 0.722], [0.998, 0.004, 0.001], [0.908, 0.453, 0.820], [0.454, 0.726, 0.908], [0.278, 0.639, 0.547], [0.089, 0.551, 0.189], [0.540, 0.279, 0.092], [0.185, 0.090, 0.365], [0.634, 0.816, 0.270], [0.823, 0.908, 0.631], [0.729, 0.362, 0.455]],
  "e_form_ev_per_fu": 0.64,
  "total_magnetization_mub_per_cell": 0.667,
  "relative_energy_mev_per_atom": 61
}


{
  "formula": "PtW2Br",
  "functional": "SCAN",
  "state": "PBEsol geometry",
  "cell": [[-0.443, -0.789, 3.713], [-1.273, -3.491, -0.894], [4.216, -1.580, 0.168]],
  "species": ["Br", "W", "W", "Pt"],
  "fractional_positions": [[0.500, 0.500, 0.500], [0.500, 0.000, 0.000], [0.000, 0.500, 0.000], [0.000, 0.000, 0.500]],
  "raw_formation_energy_mev_per_atom": 1382,
  "total_magnetization_mub_per_cell": 0.000
}


{
  "formula": "K4MgSc",
  "functional": "SCAN",
  "state": "PBEsol geometry",
  "cell": [[-3.498, 6.163, 1.927], [-6.908, -0.319, 2.472], [-1.434, 1.349, 7.075]],
  "species": ["K", "Mg", "K", "Sc", "K", "K"],
  "fractional_positions": [[0.375, 0.375, 0.874], [0.750, 0.750, 0.750], [0.375, 0.375, 0.375], [0.000, 0.000, 0.000], [0.874, 0.375, 0.375], [0.375, 0.874, 0.375]],
  "e_form_ev_per_fu": 3.88,
  "total_magnetization_mub_per_cell": 1.812
}


The calculation returns the following DOS at the Fermi energy values, one per record and in order: 0.620, 0.386, 0.651, 0.733, 0.651, 0.984, 0.886, 1.135 states/eV per atom.